DFT (GGA-PBE) results for crystalline Er3Zn4Cu2 at its relaxed geometry.

The structure in POSCAR format:
```
Er3Zn4Cu2
1.0
4.206 0.000 1.122
1.786 5.012 1.750
0.067 -0.065 8.195
Er Zn Cu
3 4 2
direct
0.324 0.698 0.654
0.000 0.000 0.000
0.676 0.302 0.346
0.276 0.387 0.061
0.724 0.613 0.939
0.039 0.296 0.626
0.961 0.704 0.374
0.401 0.931 0.268
0.599 0.069 0.732
```

Results
**Density of states at the Fermi level**: 7.1 states/eV per cell
**Formation enthalpy at 0 K**: -3.0 eV/f.u.
**Energy above the lowest structure with this stoichiometry**: 0.000 eV per atom

---

DFT (GGA-PBE) results for crystalline KBaRe2 at its relaxed geometry.

The structure in POSCAR format:
```
KBaRe2
1.0
-1.437 6.703 -5.873
-6.050 3.634 5.628
-1.773 6.623 1.056
Re K Ba
4 2 2
direct
0.623 0.125 0.250
0.127 0.625 0.250
0.375 0.377 0.750
0.875 0.873 0.750
0.500 0.500 0.000
0.250 0.750 0.500
0.000 0.000 0.000
0.750 0.250 0.500
```

Results
**Density of states at the Fermi level**: 7.8 states/eV per cell
**Formation enthalpy at 0 K**: 8.5 eV/f.u.
**Energy above the lowest structure with this stoichiometry**: 1.457 eV per atom

---

DFT (GGA-PBE) results for crystalline USiRh at its relaxed geometry.

The structure in POSCAR format:
```
USiRh
1.0
4.002 0.000 0.000
2.001 3.466 0.000
2.001 1.155 7.549
Rh U Si
2 2 2
direct
0.561 0.561 0.317
0.439 0.439 0.683
0.304 0.304 0.089
0.696 0.696 0.911
0.869 0.869 0.393
0.131 0.131 0.607
```

Results
**Density of states at the Fermi level**: 8.7 states/eV per cell
**Uncorrected formation energy**: -1.0 eV per formula unit

---

DFT (GGA-PBE) results for crystalline Ce2SnSb at its relaxed geometry.

The structure in POSCAR format:
```
Ce2SnSb
1.0
3.699 0.000 0.000
0.000 3.699 0.000
0.000 0.000 8.289
Sb Sn Ce
1 1 2
direct
0.500 0.500 0.000
0.500 0.500 0.500
0.000 0.000 0.763
0.000 0.000 0.237
```

Results
**Density of states at the Fermi level**: 11.8 states/eV per cell
**Uncorrected formation energy**: -2.8 eV per formula unit
**Energy above the lowest structure with this stoichiometry**: 0.101 eV per atom

---

DFT (GGA-PBE) results for crystalline PmCuSi2Pt7 at its relaxed geometry.

The structure in POSCAR format:
```
PmCuSi2Pt7
1.0
-0.231 1.444 -3.826
3.705 -1.549 -0.808
-7.574 -11.768 -1.791
Pm Cu Si Pt
1 1 2 7
direct
0.500 0.500 0.000
0.250 0.750 0.500
0.874 0.874 0.747
0.126 0.126 0.253
0.081 0.581 0.162
0.000 0.000 0.000
0.419 0.919 0.838
0.793 0.793 0.587
0.580 0.080 0.161
0.207 0.207 0.413
0.920 0.420 0.839
```

Results
**Density of states at the Fermi level**: 4.5 states/eV per cell
**Uncorrected formation energy**: -3.1 eV per formula unit

---

DFT (GGA-PBE) results for crystalline Dy2Er4Tm at its relaxed geometry.

The structure in POSCAR format:
```
Dy2Er4Tm
1.0
-0.605 -0.454 3.454
0.394 -2.810 -2.110
19.439 0.150 3.425
Er Tm Dy
4 1 2
direct
0.048 0.096 0.952
0.380 0.761 0.525
0.049 0.097 0.239
0.381 0.761 0.808
0.713 0.427 0.666
0.716 0.431 0.096
0.715 0.429 0.382
```

Results
**Density of states at the Fermi level**: 9.6 states/eV per cell
**Formation enthalpy at 0 K**: 0.0 eV/f.u.
**Energy above the lowest structure with this stoichiometry**: 0.000 eV per atom

---

DFT (GGA-PBE) results for crystalline SrInMo2 at its relaxed geometry.

The structure in POSCAR format:
```
SrInMo2
1.0
5.320 0.000 0.000
0.000 2.965 -0.001
0.000 0.322 5.584
In Mo Sr
1 2 1
direct
0.500 0.750 0.750
0.000 0.896 0.040
0.000 0.604 0.460
0.500 0.250 0.250
```

Results
**Density of states at the Fermi level**: 2.9 states/eV per cell
**Formation enthalpy at 0 K**: 3.3 eV/f.u.

---

DFT (GGA-PBE) results for crystalline LaDy2In at its relaxed geometry.

The structure in POSCAR format:
```
LaDy2In
1.0
4.864 0.000 0.000
0.000 4.953 0.000
0.000 0.000 4.953
La In Dy
1 1 2
direct
0.500 0.500 0.500
0.500 0.000 0.000
0.000 0.000 0.500
0.000 0.500 0.000
```

Results
**Density of states at the Fermi level**: 6.4 states/eV per cell
**Formation enthalpy at 0 K**: -1.0 eV/f.u.
**Energy above the lowest structure with this stoichiometry**: 0.000 eV per atom